# 1
## YCd2B2O6 (PBE-GGA)

Data for a relaxed structure of YCd2B2O6.

a b c (Å): 5.1810 5.1810 7.0349
angles (deg): 90.00 90.00 120.00
With the nearest neighbours (Å) after each atom.
Fractional coordinates of all 11 atoms:
Y 0.0000 0.0000 0.0000  6 O 2.29
Cd 0.3333 0.6667 0.3345  3 O 2.25
Cd 0.6667 0.3333 0.6655  3 O 2.25
B 0.3333 0.6667 0.8025  3 O 1.39
B 0.6667 0.3333 0.1975  3 O 1.39
O 0.3028 0.3850 0.8030  1 B 1.39
O 0.0822 0.6972 0.8030  1 B 1.39
O 0.6150 0.9178 0.8030  1 B 1.39
O 0.6972 0.6150 0.1970  1 B 1.39
O 0.9178 0.3028 0.1970  1 B 1.39
O 0.3850 0.0822 0.1970  1 B 1.39

Output
For the uncorrected formation energy, the calculation gives -23.489 eV/f.u. The space-group type is No. 147. As for the uncorrected energy: -6.808 eV/atom. As for the crystal system: trigonal.

=====

# 2
## Zn3Cd3B4O12 (PBE-GGA)

Data for a relaxed structure of Zn3Cd3B4O12.

a b c (Å): 6.5181 6.5181 6.5181
angles (deg): 81.43 81.43 81.43
With the nearest neighbours (Å) after each atom.
Fractional coordinates of all 22 atoms:
Zn 0.8310 0.5185 0.2187  4 O 1.96-2.03
Zn 0.2187 0.8310 0.5185  4 O 1.96-2.03
Zn 0.5185 0.2187 0.8310  4 O 1.96-2.03
Cd 0.7213 0.0147 0.3439  4 O 2.20-2.29
Cd 0.3439 0.7213 0.0147  4 O 2.20-2.29
Cd 0.0147 0.3439 0.7213  4 O 2.20-2.29
B 0.8910 0.8910 0.8910  3 O 1.39
B 0.4073 0.4073 0.4073  3 O 1.39
B 0.6367 0.6367 0.6367  3 O 1.39
B 0.1525 0.1525 0.1525  3 O 1.39
O 0.7863 0.8091 0.0802  1 B 1.39
O 0.0802 0.7863 0.8091  1 B 1.39
O 0.8091 0.0802 0.7863  1 B 1.39
O 0.5920 0.3456 0.2835  1 B 1.39
O 0.2835 0.5920 0.3456  1 B 1.39
O 0.3456 0.2835 0.5920  1 B 1.39
O 0.5186 0.8244 0.5728  1 B 1.39
O 0.5728 0.5186 0.8244  1 B 1.39
O 0.8244 0.5728 0.5186  1 B 1.39
O 0.0511 0.3399 0.0637  1 B 1.39
O 0.0637 0.0511 0.3399  1 B 1.39
O 0.3399 0.0637 0.0511  1 B 1.39

Output
For the uncorrected formation energy, the calculation gives -39.437 eV/f.u. The space-group type is No. 146. As for the uncorrected energy: -6.010 eV/atom. As for the crystal system: trigonal.

=====

# 3
## CdB2Os (PBE-GGA)

Data for a relaxed structure of CdB2Os.

a b c (Å): 5.1445 5.1445 6.1297
angles (deg): 65.19 65.19 90.00
With the nearest neighbours (Å) after each atom.
Fractional coordinates of all 8 atoms:
B 0.7037 0.1250 0.2500  2 Os 1.99
B 0.0463 0.6250 0.2500  2 Os 1.99
B 0.3750 0.2963 0.7500  2 Os 1.99
B 0.8750 0.9537 0.7500  2 Os 1.99
Os 0.0000 0.0000 0.0000  4 B 1.99
Os 0.7500 0.2500 0.5000  4 B 1.99
Cd 0.5000 0.5000 0.0000  4 B 2.46
Cd 0.2500 0.7500 0.5000  4 B 2.46

Output
The space-group type is No. 122. As for the uncorrected energy: -5.662 eV/atom. As for the crystal system: tetragonal. Its calculated formation energy is 2.851 eV/f.u.